[1]
VASP calculation (PBE) on a relaxed structure of Rb2YBiF6.

Unit cell a=7.313 b=7.313 c=6.881 alpha=57.90 beta=57.90 gamma=90.00
Each line ends with the local moment (μB).
Element x y z (fractional)
Rb1 0.750 0.250 0.500  0.01
Rb2 0.250 0.750 0.500  0.01
F1 0.710 0.290 0.000  0.04
F2 0.257 0.257 0.487  0.03
F3 0.743 0.743 0.513  0.03
F4 0.290 0.710 0.000  0.04
F5 0.290 0.290 0.000  0.04
F6 0.710 0.710 0.000  0.04
Bi1 0.000 0.000 0.000  1.13
Y1 0.500 0.500 0.000  0.02

Summary:
Space group = No. 139
Energy relative to the elements, uncorrected = -2.796 eV per atom

---

[2]
VASP calculation (PBE) on a relaxed structure of Zn2CoSi.

Unit cell a=4.150 b=4.150 c=4.150 alpha=60.00 beta=60.00 gamma=60.00
Element x y z (fractional)
Si1 0.750 0.750 0.750
Zn1 0.250 0.250 0.250
Zn2 0.000 0.000 0.000
Co1 0.500 0.500 0.500

Summary:
Space group = No. 216
Energy relative to the elements, uncorrected = 0.086 eV per atom

---

[3]
VASP calculation (PBE) on a relaxed structure of CsBeAg3.

Unit cell a=4.980 b=4.980 c=4.980 alpha=90.00 beta=90.00 gamma=90.00
Element x y z (fractional)
Cs1 0.500 0.500 0.500
Ag1 0.000 0.000 0.500
Ag2 0.000 0.500 0.000
Ag3 0.500 0.000 0.000
Be1 0.000 0.000 0.000

Summary:
Uncorrected energy = -11.39 eV per formula unit
Space group = No. 221

---

[4]
VASP calculation (PBE) on a relaxed structure of BC2.

Unit cell a=4.551 b=4.551 c=7.849 alpha=115.64 beta=115.64 gamma=31.78
Element x y z (fractional)
C1 0.012 0.012 0.992
C2 0.163 0.163 0.713
C3 0.157 0.157 0.196
C4 0.995 0.995 0.501
C5 0.837 0.837 0.537
C6 0.499 0.499 0.393
C7 0.658 0.658 0.819
C8 0.512 0.512 0.881
B1 0.332 0.332 0.673
B2 0.336 0.336 0.186
B3 0.838 0.838 0.022
B4 0.661 0.661 0.339

Summary:
Uncorrected energy = -24.10 eV per formula unit
Space group = No. 8

---

[5]
VASP calculation (PBE) on a relaxed structure of InSb2Rh.

Unit cell a=4.970 b=4.970 c=3.789 alpha=88.55 beta=88.55 gamma=105.91
Element x y z (fractional)
In1 0.000 0.000 0.500
Sb1 0.000 0.500 0.000
Sb2 0.500 0.000 0.000
Rh1 0.500 0.500 0.500

Summary:
Space group = No. 12
Energy relative to the elements, uncorrected = 0.157 eV per atom

---

[6]
VASP calculation (PBE) on a relaxed structure of MoAu2C2.

Unit cell a=2.659 b=2.659 c=9.374 alpha=81.85 beta=81.85 gamma=90.00
Element x y z (fractional)
Mo1 0.000 0.000 0.000
C1 0.250 0.750 0.500
C2 0.750 0.250 0.500
Au1 0.378 0.378 0.244
Au2 0.622 0.622 0.756

Summary:
Uncorrected energy = -28.06 eV per formula unit
Space group = No. 139

---

[7]
VASP calculation (PBE) on a relaxed structure of RbTlAu.

Unit cell a=4.020 b=4.020 c=6.870 alpha=107.01 beta=107.01 gamma=90.00
Element x y z (fractional)
Au1 0.710 0.710 0.419
Tl1 0.287 0.287 0.574
Rb1 0.004 0.004 0.007

Summary:
Uncorrected energy = -7.03 eV per formula unit
Space group = No. 107

---

[8]
VASP calculation (PBE) on a relaxed structure of YIn2Ir.

Unit cell a=4.166 b=4.166 c=11.164 alpha=79.25 beta=79.25 gamma=90.00
Element x y z (fractional)
In1 0.111 0.625 0.250
In2 0.639 0.125 0.250
In3 0.875 0.889 0.750
In4 0.375 0.361 0.750
Ir1 0.750 0.250 0.500
Ir2 0.000 0.000 0.000
Y1 0.500 0.500 0.000
Y2 0.250 0.750 0.500

Summary:
Uncorrected energy = -21.33 eV per formula unit
Space group = No. 122

---

[9]
VASP calculation (PBE) on a relaxed structure of YTmGa2Pd2.

Unit cell a=4.483 b=4.483 c=6.837 alpha=90.00 beta=90.00 gamma=120.00
Element x y z (fractional)
Pd1 0.333 0.667 0.264
Pd2 0.667 0.333 0.736
Ga1 0.333 0.667 0.740
Ga2 0.667 0.333 0.260
Tm1 0.000 0.000 0.500
Y1 0.000 0.000 0.000

Summary:
Uncorrected energy = -32.58 eV per formula unit
Space group = No. 164

---

[10]
VASP calculation (PBE) on a relaxed structure of Mg2MnCo.

Unit cell a=5.322 b=5.322 c=5.322 alpha=146.54 beta=129.27 gamma=62.15
Each line ends with the local moment (μB).
Element x y z (fractional)
Mg1 0.024 0.024 0.000  -0.03
Mg2 0.742 0.242 0.500  -0.03
Co1 0.269 0.769 0.500  1.24
Mn1 0.465 0.465 0.000  3.20

Summary:
Uncorrected energy = -18.85 eV per formula unit
Space group = No. 44

---

[11]
VASP calculation (PBE) on a relaxed structure of Ca2RhAu.

Unit cell a=3.463 b=3.477 c=8.123 alpha=64.57 beta=90.00 gamma=90.00
Element x y z (fractional)
Au1 0.500 0.750 0.750
Rh1 0.500 0.250 0.250
Ca1 0.000 0.981 0.018
Ca2 0.000 0.519 0.482

Summary:
Uncorrected energy = -16.95 eV per formula unit
Space group = No. 10

---

[12]
VASP calculation (PBE) on a relaxed structure of Tb8HC3S4.

Unit cell a=7.492 b=7.652 c=7.492 alpha=119.31 beta=120.00 gamma=90.00
Element x y z (fractional)
Tb1 0.752 0.278 0.503
Tb2 0.248 0.722 0.497
Tb3 0.274 0.278 0.026
Tb4 0.248 0.722 0.974
Tb5 0.738 0.714 0.476
Tb6 0.752 0.278 0.026
Tb7 0.726 0.722 0.974
Tb8 0.262 0.286 0.524
S1 0.000 0.000 0.500
S2 0.500 0.000 0.000
S3 0.000 0.000 0.000
S4 0.500 0.000 0.500
C1 0.500 0.500 0.000
C2 0.500 0.500 0.500
C3 0.000 0.500 0.500
H1 0.000 0.500 0.000

Summary:
Uncorrected energy = -104.64 eV per formula unit
Space group = No. 166

---

[13]
VASP calculation (PBE) on a relaxed structure of KLi2CoGe.

Unit cell a=5.045 b=4.600 c=5.045 alpha=90.00 beta=90.00 gamma=90.00
Each line ends with the local moment (μB).
Element x y z (fractional)
Ge1 0.000 0.000 0.000  -0.01
Co1 0.000 0.500 0.000  1.54
K1 0.500 0.500 0.500  -0.01
Li1 0.000 0.000 0.500  0.01
Li2 0.500 0.000 0.000  0.01

Summary:
Uncorrected energy = -15.93 eV per formula unit
Space group = No. 123

---

[14]
VASP calculation (PBE) on a relaxed structure of Sc2TcPbO8.

Unit cell a=4.829 b=4.828 c=6.578 alpha=90.00 beta=90.00 gamma=91.12
Element x y z (fractional)
O1 0.808 0.192 0.787
O2 0.283 0.283 0.000
O3 0.717 0.717 0.000
O4 0.192 0.808 0.787
O5 0.319 0.318 0.500
O6 0.808 0.192 0.213
O7 0.681 0.682 0.500
O8 0.192 0.808 0.213
Tc1 0.000 0.000 0.000
Pb1 0.000 0.000 0.500
Sc1 0.500 0.500 0.248
Sc2 0.500 0.500 0.752

Summary:
Space group = No. 65
Energy relative to the elements, uncorrected = -2.084 eV per atom

---

[15]
VASP calculation (PBE) on a relaxed structure of LiTiGaO4.

Unit cell a=5.165 b=5.165 c=6.175 alpha=90.00 beta=90.00 gamma=114.99
Element x y z (fractional)
O1 0.265 0.245 0.750
O2 0.245 0.265 0.250
O3 0.283 0.717 0.988
O4 0.717 0.283 0.012
O5 0.735 0.755 0.250
O6 0.283 0.717 0.512
O7 0.755 0.735 0.750
O8 0.717 0.283 0.488
Li1 0.836 0.164 0.750
Li2 0.164 0.836 0.250
Ti1 0.500 0.500 0.500
Ti2 0.500 0.500 0.000
Ga1 0.158 0.842 0.750
Ga2 0.842 0.158 0.250

Summary:
Space group = No. 63
Energy relative to the elements, uncorrected = -2.363 eV per atom

---

[16]
VASP calculation (PBE) on a relaxed structure of ZrTiCu.

Unit cell a=3.083 b=5.479 c=13.385 alpha=73.66 beta=90.00 gamma=90.00
Element x y z (fractional)
Ti1 0.500 0.043 0.167
Ti2 0.000 0.446 0.829
Ti3 0.000 0.197 0.683
Ti4 0.500 0.922 0.857
Zr1 0.000 0.764 0.361
Zr2 0.000 0.584 0.126
Zr3 0.500 0.741 0.650
Zr4 0.500 0.303 0.325
Cu1 0.500 0.419 0.520
Cu2 0.000 0.068 0.001
Cu3 0.000 0.081 0.499
Cu4 0.500 0.432 0.983

Summary:
Uncorrected energy = -20.30 eV per formula unit
Space group = No. 6

---

[17]
VASP calculation (PBE) on a relaxed structure of ZnRuBr2.

Unit cell a=5.045 b=5.031 c=5.022 alpha=62.84 beta=85.12 gamma=117.31
Each line ends with the local moment (μB).
Element x y z (fractional)
Br1 0.000 0.000 0.000  0.05
Br2 0.500 0.000 0.500  0.05
Zn1 0.500 0.500 0.000  -0.02
Ru1 0.000 0.500 0.500  1.56

Summary:
Space group = No. 12
Energy relative to the elements, uncorrected = 0.538 eV per atom

---

[18]
VASP calculation (PBE) on a relaxed structure of Cs2Ca3TbF12.

Unit cell a=8.337 b=8.337 c=8.337 alpha=58.86 beta=58.86 gamma=58.86
Each line ends with the local moment (μB).
Element x y z (fractional)
F1 0.933 0.933 0.315  0.05
F2 0.685 0.067 0.067  0.05
F3 0.332 0.916 0.332  0.15
F4 0.916 0.332 0.332  0.15
F5 0.933 0.315 0.933  0.05
F6 0.067 0.067 0.685  0.05
F7 0.315 0.933 0.933  0.05
F8 0.668 0.084 0.668  0.15
F9 0.668 0.668 0.084  0.15
F10 0.084 0.668 0.668  0.15
F11 0.067 0.685 0.067  0.05
F12 0.332 0.332 0.916  0.15
Cs1 0.610 0.610 0.610  0.00
Cs2 0.390 0.390 0.390  0.00
Ca1 0.000 0.000 0.500  0.00
Ca2 0.000 0.500 0.000  0.00
Ca3 0.500 0.000 0.000  0.00
Tb1 0.000 0.000 0.000  0.00

Summary:
Space group = No. 166
Energy relative to the elements, uncorrected = -3.450 eV per atom

---

[19]
VASP calculation (PBE) on a relaxed structure of SrMo2Au.

Unit cell a=2.803 b=2.803 c=9.864 alpha=90.00 beta=90.00 gamma=89.93
Element x y z (fractional)
Sr1 0.500 0.500 0.250
Au1 0.500 0.500 0.750
Mo1 0.000 0.000 0.530
Mo2 0.000 0.000 0.970

Summary:
Uncorrected energy = -23.47 eV per formula unit
Space group = No. 123

---

[20]
VASP calculation (PBE) on a relaxed structure of NaY2TiRh.

Unit cell a=5.337 b=4.620 c=5.337 alpha=90.00 beta=90.00 gamma=90.00
Each line ends with the local moment (μB).
Element x y z (fractional)
Y1 0.000 0.000 0.500  0.07
Y2 0.500 0.000 0.000  0.09
Ti1 0.000 0.500 0.000  1.51
Rh1 0.500 0.500 0.500  -0.13
Na1 0.000 0.000 0.000  0.04

Summary:
Uncorrected energy = -22.99 eV per formula unit
Space group = No. 123